# Tb2PuSb PBE relaxed
data_Tb2PuSb
_cell_length_a 4.866
_cell_length_b 4.866
_cell_length_c 4.575
_cell_angle_alpha 90.00
_cell_angle_beta 90.00
_cell_angle_gamma 90.00
_symmetry_space_group_name_H-M 'P 4/m m m'
_symmetry_Int_Tables_number 123
_symmetry_space_group_name_Hall '-P 4 2'
loop_
_atom_site_label
_atom_site_type_symbol
_atom_site_fract_x
_atom_site_fract_y
_atom_site_fract_z
Tb1 Tb 0.000 0.500 0.000
Pu1 Pu 0.000 0.000 0.500
Sb1 Sb 0.500 0.500 0.500
# M_tot (μB/f.u.): 6.522
# Offset from the most stable computed form (meV/atom): 0.0
# Uncorrected energy (eV per atom): -7.352
# Formation energy from raw total energies (kJ per mole of atoms): -40.9

# Tb4PuSb5 PBE relaxed
data_Tb4PuSb5
_cell_length_a 4.410
_cell_length_b 4.410
_cell_length_c 31.129
_cell_angle_alpha 90.00
_cell_angle_beta 90.00
_cell_angle_gamma 90.00
_symmetry_space_group_name_H-M 'I 4/m m m'
_symmetry_Int_Tables_number 139
_symmetry_space_group_name_Hall '-I 4 2'
loop_
_atom_site_label
_atom_site_type_symbol
_atom_site_fract_x
_atom_site_fract_y
_atom_site_fract_z
Tb1 Tb 0.000 0.000 0.101
Tb2 Tb 0.000 0.000 0.300
Pu1 Pu 0.000 0.000 0.500
Sb1 Sb 0.000 0.000 0.000
Sb2 Sb 0.000 0.000 0.200
Sb3 Sb 0.000 0.000 0.400
# M_tot (μB/f.u.): 5.064
# Uncorrected energy (eV per atom): -6.379
# Formation energy from raw total energies (kJ per mole of atoms): -99.6

# TbPu5Sb6 PBE relaxed
data_TbPu5Sb6
_cell_length_a 7.665
_cell_length_b 13.257
_cell_length_c 7.647
_cell_angle_alpha 90.00
_cell_angle_beta 109.43
_cell_angle_gamma 90.00
_symmetry_space_group_name_H-M 'C 1 2/m 1'
_symmetry_Int_Tables_number 12
_symmetry_space_group_name_Hall '-C 2y'
loop_
_atom_site_label
_atom_site_type_symbol
_atom_site_fract_x
_atom_site_fract_y
_atom_site_fract_z
Tb1 Tb 0.000 0.000 0.000
Pu1 Pu 0.000 0.167 0.500
Pu2 Pu 0.000 0.333 0.000
Pu3 Pu 0.000 0.500 0.500
Sb1 Sb 0.250 0.000 0.750
Sb2 Sb 0.250 0.167 0.250
# M_tot (μB/f.u.): 5.273
# Uncorrected energy (eV per atom): -9.091
# Formation energy from raw total energies (kJ per mole of atoms): -64.9